Entry 1:
Entry from the Open Quantum Materials Database: a geometry-optimized Ac4AgAu3 structure (PBE).

Lattice parameters (Å, degrees): 4.2015 4.9809 11.8854 90.00 90.00 90.00
Closest atoms and distances in Å follow each position.
Atoms (fractional coordinates):
Ac  0.0000  0.0000  0.0000  6 Au 3.30-3.36, 1 Ag 3.40
Ac  0.0000  0.5000  0.2679  7 Au 3.31-3.37
Ac  0.5000  0.0000  0.4941  5 Au 3.26-3.32, 2 Ag 3.35
Ac  0.5000  0.5000  0.7694  3 Au 3.29-3.35, 4 Ag 3.32
Ag  0.0000  0.0000  0.7136  2 Au 3.16, 7 Ac 3.32-3.40
Au  0.0000  0.5000  0.5493  2 Ag 3.16, 7 Ac 3.32-3.35
Au  0.5000  0.0000  0.2201  2 Au 3.24, 7 Ac 3.26-3.36
Au  0.5000  0.5000  0.0460  2 Au 3.24, 7 Ac 3.29-3.37

Formation energy from the elements ... -692.0 meV/atom
Space-group type ... No. 25
Total magnetic moment ... 0.0 μB/cell

Entry 2:
Entry from the Open Quantum Materials Database: a geometry-optimized HfNbCu structure (PBE).

Lattice parameters (Å, degrees): 4.3328 4.3328 4.3328 60.00 60.00 60.00
Closest atoms and distances in Å follow each position.
Atoms (fractional coordinates):
Hf  0.0000  0.0000  0.0000  4 Cu 2.65
Nb  0.5000  0.5000  0.5000  4 Cu 2.65
Cu  0.2500  0.2500  0.2500  4 Nb 2.65, 4 Hf 2.65

Formation energy from the elements ... 424.6 meV/atom
Space-group type ... No. 216
ΔE to the lowest computed polymorph ... 0.317 eV per atom
Total magnetic moment ... 0.0 μB/cell

Entry 3:
Entry from the Open Quantum Materials Database: a geometry-optimized Ac2PbAu2 structure (PBE).

Lattice parameters (Å, degrees): 8.4795 8.4795 4.1731 90.00 90.00 90.00
Closest atoms and distances in Å follow each position.
Atoms (fractional coordinates):
Ac  0.1748  0.3252  0.0000  6 Au 3.20-3.30
Ac  0.3252  0.8252  0.0000  6 Au 3.20-3.30
Ac  0.6748  0.1748  0.0000  6 Au 3.20-3.30
Ac  0.8252  0.6748  0.0000  6 Au 3.20-3.30
Pb  0.0000  0.0000  0.5000  4 Au 3.36, 8 Ac 3.76
Pb  0.5000  0.5000  0.5000  4 Au 3.36, 8 Ac 3.76
Au  0.1228  0.6228  0.5000  1 Au 2.94, 2 Ac 3.20
Au  0.3772  0.1228  0.5000  1 Au 2.94, 2 Ac 3.20
Au  0.6228  0.8772  0.5000  1 Au 2.94, 2 Ac 3.20
Au  0.8772  0.3772  0.5000  1 Au 2.94, 2 Ac 3.20

Raw total energy ... -4.481 eV per atom
Space-group type ... No. 127
Total magnetic moment ... 0.0 μB/cell

Entry 4:
Entry from the Open Quantum Materials Database: a geometry-optimized HoTm2LuIn2 structure (PBE).

Lattice parameters (Å, degrees): 5.3164 5.3164 6.6479 90.00 90.00 120.00
Closest atoms and distances in Å follow each position.
Atoms (fractional coordinates):
Ho  0.0000  0.0000  0.0000  2 Lu 3.32, 6 In 3.49, 6 Tm 3.49
Tm  0.3333  0.6667  0.7496  5 In 3.07-3.33
Tm  0.6667  0.3333  0.2504  5 In 3.07-3.33
Lu  0.0000  0.0000  0.5000  2 Ho 3.32, 6 Tm 3.49, 6 In 3.49
In  0.3333  0.6667  0.2501  5 Tm 3.07-3.33
In  0.6667  0.3333  0.7499  5 Tm 3.07-3.33

Raw total energy ... -4.263 eV per atom
Space-group type ... No. 164
Total magnetic moment ... 0.4 μB/cell

Entry 5:
Entry from the Open Quantum Materials Database: a geometry-optimized SrAcAu structure (PBE).

Lattice parameters (Å, degrees): 5.4058 5.4058 5.4058 60.00 60.00 60.00
Closest atoms and distances in Å follow each position.
Atoms (fractional coordinates):
Sr  0.0000  0.0000  0.0000  4 Au 3.31
Ac  0.5000  0.5000  0.5000  4 Au 3.31
Au  0.7500  0.7500  0.7500  4 Ac 3.31, 4 Sr 3.31

Space-group type ... No. 216
ΔE to the lowest computed polymorph ... 0.000 eV per atom
Total magnetic moment ... 0.0 μB/cell

Entry 6:
Entry from the Open Quantum Materials Database: a geometry-optimized Gd2Ga2ICl structure (PBE).

Lattice parameters (Å, degrees): 4.1649 4.1649 11.6435 90.00 90.00 120.00
Closest atoms and distances in Å follow each position.
Atoms (fractional coordinates):
Gd  0.0000  0.0000  0.0000  3 Ga 2.94, 3 I 3.15
Gd  0.0000  0.0000  0.3533  3 Cl 2.86, 3 Ga 2.97
Ga  0.3333  0.6667  0.1460  3 Ga 2.50
Ga  0.6667  0.3333  0.2040  3 Ga 2.50
I  0.6667  0.3333  0.8252  3 Gd 3.15
Cl  0.3333  0.6667  0.4868  3 Gd 2.86

Raw total energy ... -4.344 eV per atom
Space-group type ... No. 156
Total magnetic moment ... 0.0 μB/cell

Number 5 is which compound? SrAcAu

total magnetic moment of number 1 (Ac4AgAu3)? 0.0 μB/cell